[1]
The following is a PBE calculation of Ni2TeOs after structural relaxation, from the Alexandria database.

Cell: 2.899 3.629 5.631 Å, 90.00 90.21 90.00°
Positions (direct):
Ni1 0.001 0.000 0.220
Ni2 0.999 0.000 0.780
Te1 0.500 0.500 0.500
Os1 0.500 0.500 0.000

Output
The total energy is -6.0404 eV per atom. For the energy relative to the elements, uncorrected, the calculation gives 10.2 kcal/mol of atoms. As for the total magnetic moment: 0.00 μB/f.u. Its symmetry is No. 10.

[2]
The following is a PBE calculation of LiMgCo2 after structural relaxation, from the Alexandria database.

Cell: 2.582 4.244 4.814 Å, 90.00 101.43 90.00°
Positions (direct):
Li1 0.000 0.000 0.000
Mg1 0.500 0.000 0.500
Co1 0.219 0.500 0.760
Co2 0.781 0.500 0.240

Output
Its energy of formation from the pure elements is 0.216 eV/atom. The total energy is -4.2142 eV per atom. As for the total magnetic moment: 2.67 μB/f.u. Its symmetry is No. 10.

What did the second record say?
The following is a PBE calculation of LiMgCo2 after structural relaxation, from the Alexandria database.

Cell: 2.582 4.244 4.814 Å, 90.00 101.43 90.00°
Positions (direct):
Li1 0.000 0.000 0.000
Mg1 0.500 0.000 0.500
Co1 0.219 0.500 0.760
Co2 0.781 0.500 0.240

Output
Its energy of formation from the pure elements is 0.216 eV/atom. The total energy is -4.2142 eV per atom. As for the total magnetic moment: 2.67 μB/f.u. Its symmetry is No. 10.

Q: The lowest total magnetic moment belongs to which entry?
A: Ni2TeOs

Q: The highest total magnetic moment belongs to which entry?
A: LiMgCo2

Please write out number 1 again, unchanged.
The following is a PBE calculation of Ni2TeOs after structural relaxation, from the Alexandria database.

Cell: 2.899 3.629 5.631 Å, 90.00 90.21 90.00°
Positions (direct):
Ni1 0.001 0.000 0.220
Ni2 0.999 0.000 0.780
Te1 0.500 0.500 0.500
Os1 0.500 0.500 0.000

Output
The total energy is -6.0404 eV per atom. For the energy relative to the elements, uncorrected, the calculation gives 10.2 kcal/mol of atoms. As for the total magnetic moment: 0.00 μB/f.u. Its symmetry is No. 10.